! BeIn2Hg2 | Alexandria | PBE | relaxed; values from VASP
&SYSTEM
  ibrav = 0, nat = 5, ntyp = 3
/
ATOMIC_SPECIES
Hg 200.59 Hg.upf
Be 9.01 Be.upf
In 114.82 In.upf
CELL_PARAMETERS angstrom
4.098 0.000 0.000
0.000 4.098 0.000
2.049 2.049 7.933
ATOMIC_POSITIONS crystal
Hg 0.411 0.411 0.179
Hg 0.589 0.589 0.821
Be 0.000 0.000 0.000
In 0.750 0.250 0.500
In 0.250 0.750 0.500
! Distance to the lowest polymorph of the same formula ... 321 meV per atom
! Formation energy ... 0.60 eV/atom

=====

! LiBeInHg2 | Alexandria | PBE | relaxed; values from VASP
&SYSTEM
  ibrav = 0, nat = 5, ntyp = 4
/
ATOMIC_SPECIES
Hg 200.59 Hg.upf
Be 9.01 Be.upf
Li 6.94 Li.upf
In 114.82 In.upf
CELL_PARAMETERS angstrom
-1.881 1.664 5.103
-1.494 -4.312 0.855
5.046 -1.295 2.282
ATOMIC_POSITIONS crystal
Hg 0.500 0.000 0.000
Hg 0.000 0.000 0.500
Be 0.000 0.500 0.000
Li 0.500 0.500 0.500
In 0.000 0.000 0.000
! Formation energy ... 0.47 eV/atom

=====

! MnBeInHg2 | Alexandria | PBE | relaxed; values from VASP
&SYSTEM
  ibrav = 0, nat = 5, ntyp = 4
/
ATOMIC_SPECIES
Be 9.01 Be.upf
Hg 200.59 Hg.upf
Mn 54.94 Mn.upf
In 114.82 In.upf
CELL_PARAMETERS angstrom
-1.753 2.881 3.342
-1.041 -3.668 2.616
4.281 0.240 2.039
ATOMIC_POSITIONS crystal
Be 0.000 0.000 0.000
Hg 0.500 0.000 0.000
Hg 0.000 0.000 0.500
Mn 0.000 0.500 0.000
In 0.500 0.500 0.500
! Formation energy ... 0.40 eV/atom

=====

! MnBe2InHg | Alexandria | PBE | relaxed; values from VASP
&SYSTEM
  ibrav = 0, nat = 5, ntyp = 4
/
ATOMIC_SPECIES
In 114.82 In.upf
Mn 54.94 Mn.upf
Be 9.01 Be.upf
Hg 200.59 Hg.upf
CELL_PARAMETERS angstrom
-3.191 -2.761 0.981
1.282 0.273 4.940
-2.721 3.330 0.522
ATOMIC_POSITIONS crystal
In 0.500 0.500 0.500
Mn 0.000 0.000 0.000
Be 0.000 0.000 0.500
Be 0.500 0.000 0.000
Hg 0.000 0.500 0.000
! Distance to the lowest polymorph of the same formula ... 0 meV per atom
! Formation energy ... 0.98 eV/atom

=====

! Na2BeInHg | Alexandria | PBE | relaxed; values from VASP
&SYSTEM
  ibrav = 0, nat = 5, ntyp = 4
/
ATOMIC_SPECIES
Hg 200.59 Hg.upf
In 114.82 In.upf
Be 9.01 Be.upf
Na 22.99 Na.upf
CELL_PARAMETERS angstrom
-4.990 -1.132 -1.814
1.672 -0.694 -4.166
0.761 -5.245 1.179
ATOMIC_POSITIONS crystal
Hg 0.000 0.500 0.000
In 0.500 0.500 0.500
Be 0.000 0.000 0.000
Na 0.000 0.000 0.500
Na 0.500 0.000 0.000
! Formation energy ... 0.27 eV/atom

=====

! BeInHg2O | Alexandria | PBE | relaxed; values from VASP
&SYSTEM
  ibrav = 0, nat = 5, ntyp = 4
/
ATOMIC_SPECIES
In 114.82 In.upf
Hg 200.59 Hg.upf
Be 9.01 Be.upf
O 16.00 O.upf
CELL_PARAMETERS angstrom
-2.472 5.593 -1.336
-2.635 -1.182 -0.070
-0.683 1.158 6.113
ATOMIC_POSITIONS crystal
In 0.500 0.500 0.500
Hg 0.000 0.000 0.500
Hg 0.500 0.000 0.000
Be 0.000 0.500 0.000
O 0.000 0.000 0.000
! E_form (uncorrected) ... -0.69 eV per atom

=====

Total magnetization for every record listed, in sequence, given in μB per atom: 0.000; 0.000; 0.756; 0.002; 0.000; 0.000.